Below is a relaxed structure of Li2AlSbO4, with properties calculated at the PBE-GGA level.

Summary:
SG   No. 1
Formation energy without anion corrections   -1.999 eV per atom
D(E_F)   0.00 states/eV/cell

abc: 4.621 4.744 5.346
angles: 112.60 108.06 92.55
Atoms (fractional coordinates):
Li: 0.000 0.000 0.000
Li: 0.217 0.763 0.486
Al: 0.757 0.246 0.502
Sb: 0.474 0.483 0.036
O: 0.047 0.096 0.684
O: 0.422 0.944 0.259
O: 0.653 0.569 0.764
O: 0.890 0.385 0.278

=====

Below is a relaxed structure of LiSc2AlO, with properties calculated at the PBE-GGA level.

Summary:
SG   No. 123
Formation energy without anion corrections   -1.394 eV per atom
D(E_F)   1.82 states/eV/cell

abc: 4.409 4.409 4.030
angles: 90.00 90.00 90.00
Atoms (fractional coordinates):
Li: 0.000 0.000 0.000
Sc: 0.000 0.500 0.500
Sc: 0.500 0.000 0.500
Al: 0.500 0.500 0.000
O: 0.000 0.000 0.500

=====

Below is a relaxed structure of Li2ScAlO4, with properties calculated at the PBE-GGA level.

Summary:
SG   No. 10
Formation energy without anion corrections   -2.776 eV per atom
D(E_F)   0.00 states/eV/cell

abc: 5.169 2.981 5.180
angles: 90.00 109.64 90.00
Atoms (fractional coordinates):
Li: 0.000 0.000 0.000
Li: 0.500 0.500 0.000
Sc: 0.000 0.500 0.500
Al: 0.500 0.000 0.500
O: 0.262 0.000 0.724
O: 0.276 0.500 0.280
O: 0.724 0.500 0.720
O: 0.738 0.000 0.276

=====

Below is a relaxed structure of Li3ScAl2O6, with properties calculated at the PBE-GGA level.

Summary:
SG   No. 12
Formation energy without anion corrections   -2.757 eV per atom
D(E_F)   0.00 states/eV/cell

abc: 5.082 5.082 5.135
angles: 99.31 99.31 120.10
Atoms (fractional coordinates):
Li: 0.000 0.000 0.000
Li: 0.325 0.675 0.000
Li: 0.675 0.325 0.000
Sc: 0.500 0.500 0.500
Al: 0.166 0.834 0.500
Al: 0.834 0.166 0.500
O: 0.073 0.428 0.282
O: 0.216 0.216 0.720
O: 0.428 0.073 0.282
O: 0.572 0.927 0.718
O: 0.784 0.784 0.280
O: 0.927 0.572 0.718

=====

Below is a relaxed structure of Li2AlSeO4, with properties calculated at the PBE-GGA level.

Summary:
SG   No. 82
Formation energy without anion corrections   -1.664 eV per atom
D(E_F)   1.13 states/eV/cell

abc: 4.858 4.858 4.858
angles: 110.13 110.13 108.16
Atoms (fractional coordinates):
Li: 0.000 0.000 0.000
Li: 0.750 0.250 0.500
Al: 0.250 0.750 0.500
Se: 0.500 0.500 0.000
O: 0.226 0.714 0.848
O: 0.286 0.133 0.512
O: 0.622 0.774 0.488
O: 0.867 0.378 0.152

=====

Below is a relaxed structure of LiAl2SeO6, with properties calculated at the PBE-GGA level.

Summary:
SG   No. 15
Formation energy without anion corrections   -1.931 eV per atom
D(E_F)   1.13 states/eV/cell

abc: 6.634 6.634 5.270
angles: 100.10 100.10 85.45
Atoms (fractional coordinates):
Li: 0.096 0.904 0.750
Li: 0.904 0.096 0.250
Al: 0.211 0.393 0.739
Al: 0.393 0.211 0.239
Al: 0.607 0.789 0.761
Al: 0.789 0.607 0.261
Se: 0.244 0.756 0.250
Se: 0.756 0.244 0.750
O: 0.001 0.782 0.350
O: 0.134 0.637 0.909
O: 0.218 0.999 0.150
O: 0.275 0.410 0.436
O: 0.363 0.866 0.591
O: 0.410 0.275 0.936
O: 0.590 0.725 0.064
O: 0.637 0.134 0.409
O: 0.725 0.590 0.564
O: 0.782 0.001 0.850
O: 0.866 0.363 0.091
O: 0.999 0.218 0.650

=====

Below is a relaxed structure of LiAlSiO4, with properties calculated at the PBE-GGA level.

Summary:
SG   No. 3
Formation energy without anion corrections   -2.782 eV per atom
D(E_F)   0.00 states/eV/cell
ΔE to the lowest computed polymorph   29 meV per atom

abc: 5.304 11.261 5.312
angles: 90.00 119.82 90.00
Atoms (fractional coordinates):
Li: 0.000 0.000 0.000
Li: 0.000 0.227 0.000
Li: 0.000 0.533 0.000
Al: 0.000 0.028 0.500
Al: 0.000 0.534 0.500
Al: 0.500 0.194 0.000
Si: 0.500 0.368 0.500
Si: 0.500 0.695 0.000
Si: 0.500 0.858 0.500
O: 0.177 0.111 0.823
O: 0.210 0.613 0.824
O: 0.211 0.451 0.394
O: 0.213 0.940 0.399
O: 0.416 0.284 0.219
O: 0.447 0.776 0.224
O: 0.553 0.776 0.776
O: 0.584 0.284 0.781
O: 0.787 0.940 0.601
O: 0.789 0.451 0.606
O: 0.790 0.613 0.176
O: 0.823 0.111 0.177

=====

Below is a relaxed structure of Li2Al2SiO6, with properties calculated at the PBE-GGA level.

Summary:
SG   No. 21
Formation energy without anion corrections   -2.761 eV per atom
D(E_F)   0.00 states/eV/cell

abc: 5.316 5.316 5.764
angles: 90.00 90.00 119.84
Atoms (fractional coordinates):
Li: 0.000 0.000 0.218
Li: 0.000 0.000 0.782
Al: 0.000 0.500 0.838
Al: 0.500 0.000 0.162
Si: 0.500 0.500 0.500
O: 0.177 0.823 0.000
O: 0.215 0.408 0.663
O: 0.408 0.215 0.337
O: 0.592 0.785 0.337
O: 0.785 0.592 0.663
O: 0.823 0.177 0.000